[1]
This record from the Alexandria database describes an optimized crystal structure of RbAlSi. The functional is PBE-GGA.

**Spin magnetization**: 0.00 Bohr magnetons per cell
**E_form (uncorrected)**: 0.330 eV/atom
**Uncorrected energy**: -3.05 eV/atom

a b c (Å): 7.0930 13.9763 4.3352
angles (deg): 90.00 90.00 90.00
Closest atoms and distances in Å follow each position.
Space group Cmcm (No. 63)
Inequivalent atoms, fractional coordinates:
Rb: 0.0000 0.1475 0.2500  4 Al 3.55-3.65
Al: 0.0000 0.3575 0.7500  3 Si 2.55-2.64
Si: 0.0000 0.4537 0.2500  2 Si 2.52, 3 Al 2.55-2.64

=====

[2]
This record from the Alexandria database describes an optimized crystal structure of RbAl3Si. The functional is PBE-GGA.

**Spin magnetization**: 0.00 Bohr magnetons per cell
**Energy above the lowest structure with this stoichiometry**: 1441 meV/atom
**E_form (uncorrected)**: 1.994 eV/atom
**Uncorrected energy**: -1.53 eV/atom

a b c (Å): 5.7341 5.7341 5.7341
angles (deg): 90.00 90.00 90.00
Closest atoms and distances in Å follow each position.
Space group Pm-3m (No. 221)
Inequivalent atoms, fractional coordinates:
Rb: 0.0000 0.0000 0.0000  6 Al 2.87
Al: 0.0000 0.0000 0.5000  2 Rb 2.87
Si: 0.5000 0.5000 0.5000  12 Al 4.05

=====

[3]
This record from the Alexandria database describes an optimized crystal structure of RbAlSi. The functional is PBE-GGA.

**Spin magnetization**: 0.00 Bohr magnetons per cell
**E_form (uncorrected)**: 0.245 eV/atom
**Uncorrected energy**: -3.13 eV/atom

a b c (Å): 12.3994 5.7894 7.1637
angles (deg): 90.00 90.00 90.00
Closest atoms and distances in Å follow each position.
Space group Pnma (No. 62)
Inequivalent atoms, fractional coordinates:
Rb: 0.1556 0.2500 0.0072  4 Si 3.59-3.65
Al: 0.0000 0.0000 0.5000  2 Si 2.35
Si: 0.0846 0.7500 0.2866  2 Al 2.35

=====

[4]
This record from the Alexandria database describes an optimized crystal structure of RbAlSi. The functional is PBE-GGA.

**Spin magnetization**: 0.00 Bohr magnetons per cell
**E_form (uncorrected)**: -0.011 eV/atom
**Uncorrected energy**: -3.39 eV/atom

a b c (Å): 4.2669 4.2669 5.8536
angles (deg): 90.00 90.00 120.00
Closest atoms and distances in Å follow each position.
Space group P-6m2 (No. 187)
Inequivalent atoms, fractional coordinates:
Rb: 0.0000 0.0000 0.0000  6 Si 3.83, 6 Al 3.83, 6 Rb 4.27
Al: 0.6667 0.3333 0.5000  3 Si 2.46
Si: 0.3333 0.6667 0.5000  3 Al 2.46

=====

[5]
This record from the Alexandria database describes an optimized crystal structure of RbAlSi. The functional is PBE-GGA.

**Spin magnetization**: 0.00 Bohr magnetons per cell
**E_form (uncorrected)**: 0.614 eV/atom
**Uncorrected energy**: -2.76 eV/atom

a b c (Å): 6.3401 6.3401 8.8949
angles (deg): 90.00 90.00 120.00
Closest atoms and distances in Å follow each position.
Space group P6_3/mmc (No. 194)
Inequivalent atoms, fractional coordinates:
Rb: 0.3333 0.6667 0.2500  3 Al 3.66
Al: 0.0000 0.0000 0.2500  2 Si 2.22
Si: 0.0000 0.0000 0.0000  2 Al 2.22

=====

[6]
This record from the Alexandria database describes an optimized crystal structure of RbAlSi. The functional is PBE-GGA.

**Spin magnetization**: 0.00 Bohr magnetons per cell
**E_form (uncorrected)**: 0.119 eV/atom
**Uncorrected energy**: -3.26 eV/atom

a b c (Å): 22.2010 4.5650 4.3961
angles (deg): 90.00 100.63 90.00
Closest atoms and distances in Å follow each position.
Space group C2 (No. 5)
Inequivalent atoms, fractional coordinates:
Rb: 0.1408 0.0000 0.1555  4 Si 3.51-3.76, 3 Al 3.58-3.84
Al: 0.0000 0.0154 0.5000  4 Si 2.59-2.68, 2 Al 2.82
Al: 0.0000 0.4035 0.0000  2 Si 2.46
Si: 0.0596 0.5268 0.5975  3 Al 2.46-2.68, 1 Si 2.63

=====

- Which formula does entry 4 have?
  RbAlSi